The following is a DFT calculation (PBE-GGA) of a relaxed Rb2In6Pt crystal.

a = 11.795 Å, b = 7.652 Å, c = 6.022 Å
α = 90.00°, β = 94.19°, γ = 90.00°
Space group C2/m (No. 12)
Unique sites:
1 Rb 0.126 0.000 0.196
2 In 0.100 0.295 0.683
3 In 0.196 0.500 0.274
4 Pt 0.000 0.500 0.000

Output
Calculated total energy   -51.674 eV for the cell shown
Formation energy   -0.16 eV/atom
Fermi-level density of states   0.61 states/eV/atom
Total magnetization   0.0 μB per cell
Crystal system   monoclinic